The following is a DFT calculation (PBE) of crystalline AlPPd3 at its relaxed geometry.

Cell lengths 4.4777, 4.4777, 4.4777 Å; angles 90.00, 90.00, 90.00 degrees
With the nearest neighbours (Å) after each atom.
Fractional positions:
Al 0.5000 0.5000 0.5000  12 Pd 3.17
Pd 0.0000 0.5000 0.0000  2 P 2.24
Pd 0.0000 0.0000 0.5000  2 P 2.24
Pd 0.5000 0.0000 0.0000  2 P 2.24
P 0.0000 0.0000 0.0000  6 Pd 2.24

Summary:
Offset from the most stable computed form in kJ per mole of atoms: 0.0
Density in g/cm3: 7.0
Total magnetization in μB/atom: 0.00
Calculated formation energy in eV per formula unit: -0.6
SG: Pm-3m, No. 221
DFT total energy in eV/f.u.: -25.372